[1]
DFT (PBE) results for a relaxed LiTm2TlHg4 crystal.

Unit cell a=5.075 b=5.075 c=8.775 alpha=73.19 beta=73.19 gamma=60.00
Positions (direct):
Hg 0.615 0.615 0.156
Hg 0.134 0.134 0.599
Tm 0.254 0.254 0.237
Hg 0.385 0.385 0.844
Li 0.500 0.500 0.500
Tm 0.746 0.746 0.763
Tl 0.000 0.000 0.000
Hg 0.866 0.866 0.401

As for the formation energy: -33.56 kJ/mol of atoms. The symmetry is R-3m (166).


[2]
DFT (PBE) results for a relaxed LiTmTlHg crystal.

Unit cell a=5.048 b=5.048 c=5.048 alpha=60.00 beta=60.00 gamma=60.00
Positions (direct):
Tl 0.750 0.750 0.750
Tm 0.500 0.500 0.500
Hg 0.250 0.250 0.250
Li 0.000 0.000 0.000

As for the formation energy: -34.96 kJ/mol of atoms. The symmetry is F-43m (216).


[3]
DFT (PBE) results for a relaxed LiTlZnHg crystal.

Unit cell a=4.890 b=4.890 c=4.890 alpha=60.00 beta=60.00 gamma=60.00
Positions (direct):
Zn 0.500 0.500 0.500
Hg 0.750 0.750 0.750
Tl 0.250 0.250 0.250
Li 0.000 0.000 0.000

As for the formation energy: -7.72 kJ/mol of atoms. The symmetry is F-43m (216).


[4]
DFT (PBE) results for a relaxed Li2Tm3Hg6 crystal.

Unit cell a=4.640 b=4.640 c=12.225 alpha=100.94 beta=100.94 gamma=90.00
Positions (direct):
Li 0.550 0.550 0.100
Hg 0.905 0.405 0.809
Hg 0.095 0.595 0.191
Li 0.450 0.450 0.900
Hg 0.316 0.316 0.631
Hg 0.405 0.905 0.809
Hg 0.595 0.095 0.191
Tm 0.000 0.000 0.000
Tm 0.809 0.809 0.618
Tm 0.191 0.191 0.382
Hg 0.684 0.684 0.369

As for the formation energy: -24.24 kJ/mol of atoms. The symmetry is I4/mmm (139).


[5]
DFT (PBE) results for a relaxed LiTm3Hg4 crystal.

Unit cell a=5.132 b=7.135 c=10.265 alpha=90.00 beta=90.00 gamma=90.00
Positions (direct):
Hg 0.000 0.259 0.250
Hg 0.000 0.741 0.750
Tm 0.000 0.000 0.000
Hg 0.000 0.741 0.250
Li 0.000 0.500 0.000
Hg 0.500 0.741 0.500
Hg 0.000 0.259 0.750
Tm 0.500 0.000 0.250
Hg 0.500 0.259 0.500
Hg 0.500 0.259 0.000
Li 0.000 0.500 0.500
Tm 0.500 0.500 0.250
Tm 0.500 0.500 0.750
Tm 0.000 0.000 0.500
Hg 0.500 0.741 0.000
Tm 0.500 0.000 0.750

As for the formation energy: -44.17 kJ/mol of atoms. The symmetry is P4/mmm (123).


[6]
DFT (PBE) results for a relaxed LiTmHg crystal.

Unit cell a=3.765 b=3.765 c=5.412 alpha=110.35 beta=110.35 gamma=90.00
Positions (direct):
Li 0.297 0.297 0.593
Hg 0.940 0.940 0.880
Tm 0.613 0.613 0.226

The value obtained for the energy above the lowest structure with this stoichiometry is 9 kJ/mol of formula units. As for the formation energy: -24.94 kJ/mol of atoms. The symmetry is I4mm (107).